# Lu2CuOs

A relaxed Lu2CuOs crystal (GGA-PBE, Alexandria via LeMat-Bulk).

abc: 3.3452 3.3452 6.8750
angles: 90.00 90.00 90.00
Space group P4/mmm (No. 123)
Symmetry-distinct sites (fractional):
Lu 0.0000 0.0000 0.2380 (multiplicity 2)
Cu 0.5000 0.5000 0.5000 (multiplicity 1)
Os 0.5000 0.5000 0.0000 (multiplicity 1)

Results
Total DFT energy (no corrections) = -25.74 eV/cell
Crystal system = tetragonal



# Lu2CuOs

A relaxed Lu2CuOs crystal (GGA-PBE, Alexandria via LeMat-Bulk).

abc: 6.7176 6.7176 6.7176
angles: 90.00 90.00 90.00
Space group Fm-3m (No. 225)
Symmetry-distinct sites (fractional):
Lu 0.2500 0.2500 0.2500 (multiplicity 8)
Cu 0.0000 0.0000 0.0000 (multiplicity 4)
Os 0.0000 0.0000 0.5000 (multiplicity 4)

Results
Total DFT energy (no corrections) = -103.31 eV/cell
Crystal system = cubic



# LuCu4Os

A relaxed LuCu4Os crystal (GGA-PBE, Alexandria via LeMat-Bulk).

abc: 6.9619 6.9619 6.9619
angles: 90.00 90.00 90.00
Space group F-43m (No. 216)
Symmetry-distinct sites (fractional):
Lu 0.0000 0.0000 0.0000 (multiplicity 4)
Cu 0.1241 0.1241 0.6241 (multiplicity 16)
Os 0.2500 0.2500 0.2500 (multiplicity 4)

Results
Total DFT energy (no corrections) = -129.02 eV/cell
Crystal system = cubic



# PmLuCuOs

A relaxed PmLuCuOs crystal (GGA-PBE, Alexandria via LeMat-Bulk).

abc: 6.8861 6.8861 6.8861
angles: 90.00 90.00 90.00
Space group F-43m (No. 216)
Symmetry-distinct sites (fractional):
Pm 0.0000 0.0000 0.0000 (multiplicity 4)
Lu 0.0000 0.0000 0.5000 (multiplicity 4)
Cu 0.2500 0.2500 0.7500 (multiplicity 4)
Os 0.2500 0.2500 0.2500 (multiplicity 4)

Results
Total DFT energy (no corrections) = -101.72 eV/cell
Crystal system = cubic



# LuPuCuOs

A relaxed LuPuCuOs crystal (GGA-PBE, Alexandria via LeMat-Bulk).

abc: 6.7842 6.7842 6.7842
angles: 90.00 90.00 90.00
Space group F-43m (No. 216)
Symmetry-distinct sites (fractional):
Lu 0.0000 0.0000 0.0000 (multiplicity 4)
Pu 0.0000 0.0000 0.5000 (multiplicity 4)
Cu 0.2500 0.2500 0.7500 (multiplicity 4)
Os 0.2500 0.2500 0.2500 (multiplicity 4)

Results
Total DFT energy (no corrections) = -138.77 eV/cell
Crystal system = cubic



# TbLuCuOs

A relaxed TbLuCuOs crystal (GGA-PBE, Alexandria via LeMat-Bulk).

abc: 6.8073 6.8073 6.8073
angles: 90.00 90.00 90.00
Space group F-43m (No. 216)
Symmetry-distinct sites (fractional):
Tb 0.0000 0.0000 0.0000 (multiplicity 4)
Lu 0.0000 0.0000 0.5000 (multiplicity 4)
Cu 0.2500 0.2500 0.7500 (multiplicity 4)
Os 0.2500 0.2500 0.2500 (multiplicity 4)

Results
Total DFT energy (no corrections) = -102.58 eV/cell
Crystal system = cubic



# LuTiCuOs

A relaxed LuTiCuOs crystal (GGA-PBE, Alexandria via LeMat-Bulk).

abc: 6.4534 6.4534 6.4534
angles: 90.00 90.00 90.00
Space group F-43m (No. 216)
Symmetry-distinct sites (fractional):
Lu 0.0000 0.0000 0.0000 (multiplicity 4)
Ti 0.0000 0.0000 0.5000 (multiplicity 4)
Cu 0.2500 0.2500 0.2500 (multiplicity 4)
Os 0.2500 0.2500 0.7500 (multiplicity 4)

Results
Total DFT energy (no corrections) = -115.37 eV/cell
Crystal system = cubic



# TmLuCuOs

A relaxed TmLuCuOs crystal (GGA-PBE, Alexandria via LeMat-Bulk).

abc: 6.7427 6.7427 6.7427
angles: 90.00 90.00 90.00
Space group F-43m (No. 216)
Symmetry-distinct sites (fractional):
Tm 0.0000 0.0000 0.0000 (multiplicity 4)
Lu 0.0000 0.0000 0.5000 (multiplicity 4)
Cu 0.2500 0.2500 0.7500 (multiplicity 4)
Os 0.2500 0.2500 0.2500 (multiplicity 4)

Results
Total DFT energy (no corrections) = -102.84 eV/cell
Crystal system = cubic



# LuUCuOs

A relaxed LuUCuOs crystal (GGA-PBE, Alexandria via LeMat-Bulk).

abc: 6.7699 6.7699 6.7699
angles: 90.00 90.00 90.00
Space group F-43m (No. 216)
Symmetry-distinct sites (fractional):
Lu 0.0000 0.0000 0.0000 (multiplicity 4)
U 0.0000 0.0000 0.5000 (multiplicity 4)
Cu 0.2500 0.2500 0.7500 (multiplicity 4)
Os 0.2500 0.2500 0.2500 (multiplicity 4)

Results
Total DFT energy (no corrections) = -125.13 eV/cell
Crystal system = cubic



# LuZrCuOs

A relaxed LuZrCuOs crystal (GGA-PBE, Alexandria via LeMat-Bulk).

abc: 6.6460 6.6460 6.6460
angles: 90.00 90.00 90.00
Space group F-43m (No. 216)
Symmetry-distinct sites (fractional):
Lu 0.0000 0.0000 0.0000 (multiplicity 4)
Zr 0.0000 0.0000 0.5000 (multiplicity 4)
Cu 0.2500 0.2500 0.7500 (multiplicity 4)
Os 0.2500 0.2500 0.2500 (multiplicity 4)

Results
Total DFT energy (no corrections) = -119.07 eV/cell
Crystal system = cubic



# Lu2PaCu

A relaxed Lu2PaCu crystal (GGA-PBE, Alexandria via LeMat-Bulk).

abc: 3.2153 3.2153 32.1786
angles: 90.00 90.00 120.00
Space group R-3m (No. 166, hexagonal axes)
Symmetry-distinct sites (fractional):
Lu 0.0000 0.0000 0.0991 (multiplicity 6)
Pa 0.0000 0.0000 0.0000 (multiplicity 3)
Cu 0.0000 0.0000 0.5000 (multiplicity 3)

Results
Total DFT energy (no corrections) = -64.52 eV/cell
Crystal system = trigonal



# Lu2PaCu

A relaxed Lu2PaCu crystal (GGA-PBE, Alexandria via LeMat-Bulk).

abc: 3.3754 3.3754 8.1161
angles: 90.00 90.00 90.00
Space group P4/mmm (No. 123)
Symmetry-distinct sites (fractional):
Lu 0.0000 0.0000 0.2092 (multiplicity 2)
Pa 0.5000 0.5000 0.5000 (multiplicity 1)
Cu 0.5000 0.5000 0.0000 (multiplicity 1)

Results
Total DFT energy (no corrections) = -22.75 eV/cell
Crystal system = tetragonal



Per-record density of states at the Fermi level, states/eV per atom: 0.75 0.37 0.63 0.72 2.26 0.57 0.87 0.40 1.71 0.80 1.47 1.65